GaHg2I2 | PBE | optimized geometry

Polymorph energy (0 for the lowest one)   0 meV/atom
M_tot   0.00 μB/atom
Volume   170.2 Å³/f.u.

Cell lengths 4.1975, 4.1975, 19.3170 Å; angles 90.00, 90.00, 90.00 degrees
With the nearest neighbours (Å) after each atom.
Atoms (fractional coordinates):
Ga (0.0000, 0.0000, 0.0000)  8 I 3.49
Ga (0.5000, 0.5000, 0.5000)  8 I 3.49
Hg (0.0000, 0.5000, 0.2500)  4 Hg 2.97
Hg (0.0000, 0.5000, 0.7500)  4 Hg 2.97
Hg (0.5000, 0.0000, 0.2500)  4 Hg 2.97
Hg (0.5000, 0.0000, 0.7500)  4 Hg 2.97
I (0.0000, 0.0000, 0.4048)  4 Ga 3.49, 4 Hg 3.65, 1 I 3.68
I (0.0000, 0.0000, 0.5952)  4 Ga 3.49, 4 Hg 3.65, 1 I 3.68
I (0.5000, 0.5000, 0.0952)  4 Ga 3.49, 4 Hg 3.65, 1 I 3.68
I (0.5000, 0.5000, 0.9048)  4 Ga 3.49, 4 Hg 3.65, 1 I 3.68